# GGA-PBE NiSnRh, relaxed
# E_form (eV per atom): -0.060
# Magnetization (Bohr magnetons per cell): 0.000
data_NiSnRh
_chemical_formula_sum 'Ni3 Sn3 Rh3'
_cell_length_a 4.2434
_cell_length_b 4.2434
_cell_length_c 10.4260
_cell_angle_alpha 90.00
_cell_angle_beta 90.00
_cell_angle_gamma 120.00
_space_group_name_H-M_alt 'R 3 m'
_space_group_IT_number 160
_space_group_name_Hall 'R 3 -2"'
loop_
_atom_site_label
_atom_site_fract_x
_atom_site_fract_y
_atom_site_fract_z
Ni1 0.0000 0.0000 0.0000
Sn1 0.0000 0.0000 0.4991
Rh1 0.0000 0.0000 0.2496